Entry 1:
! CsMgPC, optimized geometry, DFT PBE; values from VASP
&SYSTEM
  ibrav = 0, nat = 4, ntyp = 4
/
ATOMIC_SPECIES
Cs 132.91 Cs.upf
Mg 24.30 Mg.upf
P 30.97 P.upf
C 12.01 C.upf
ATOMIC_POSITIONS angstrom
Cs 0.000 0.000 0.000
Mg 2.711 0.000 7.352
P 2.711 0.000 3.619
C 2.711 0.000 5.284
CELL_PARAMETERS angstrom
5.423 0.000 0.000
0.000 2.152 5.189
0.000 -2.152 5.189
! energy relative to the elements = 1.46 eV per formula unit
! energy above the lowest structure with this stoichiometry = 0.44 eV/f.u.

=====

Entry 2:
! VRe2TcPb, optimized geometry, DFT PBE; values from VASP
&SYSTEM
  ibrav = 0, nat = 5, ntyp = 4
/
ATOMIC_SPECIES
V 50.94 V.upf
Re 186.21 Re.upf
Tc 98.00 Tc.upf
Pb 207.20 Pb.upf
ATOMIC_POSITIONS angstrom
V 0.000 0.000 0.000
Re 0.000 2.306 0.000
Re 2.306 0.000 0.000
Tc 0.000 0.000 2.270
Pb 2.306 2.306 2.270
CELL_PARAMETERS angstrom
4.613 0.000 0.000
0.000 4.613 0.000
0.000 0.000 4.540
! energy relative to the elements = 7.43 eV per formula unit

=====

Entry 3:
! Hf5TcIr4, optimized geometry, DFT PBE; values from VASP
&SYSTEM
  ibrav = 0, nat = 10, ntyp = 3
/
ATOMIC_SPECIES
Hf 178.49 Hf.upf
Tc 98.00 Tc.upf
Ir 192.22 Ir.upf
ATOMIC_POSITIONS angstrom
Hf 0.000 0.000 0.000
Hf 0.000 0.000 3.132
Hf 0.000 0.000 6.303
Hf 0.000 0.000 9.408
Hf 0.000 0.000 12.578
Tc 1.670 1.670 7.855
Ir 1.670 1.670 1.552
Ir 1.670 1.670 4.655
Ir 1.670 1.670 11.055
Ir 1.670 1.670 14.159
CELL_PARAMETERS angstrom
3.339 0.000 0.000
0.000 3.339 0.000
0.000 0.000 15.711
! energy relative to the elements = -8.81 eV per formula unit

=====

Entry 4:
! Mo3Pt, optimized geometry, DFT PBE; values from VASP
&SYSTEM
  ibrav = 0, nat = 4, ntyp = 2
/
ATOMIC_SPECIES
Mo 95.94 Mo.upf
Pt 195.08 Pt.upf
ATOMIC_POSITIONS angstrom
Mo 0.000 0.000 0.000
Mo 1.675 0.000 2.233
Mo 1.675 0.000 6.592
Pt 0.000 0.000 4.412
CELL_PARAMETERS angstrom
1.675 -2.132 0.000
1.675 2.132 0.000
0.000 0.000 8.825
! energy relative to the elements = -0.25 eV per formula unit
! energy above the lowest structure with this stoichiometry = 0.26 eV/f.u.

=====

Entry 5:
! TbDy4Tm3S8, optimized geometry, DFT PBE; values from VASP
&SYSTEM
  ibrav = 0, nat = 16, ntyp = 4
/
ATOMIC_SPECIES
Tb 158.93 Tb.upf
Dy 162.50 Dy.upf
Tm 168.93 Tm.upf
S 32.06 S.upf
ATOMIC_POSITIONS angstrom
Tb 0.000 0.000 0.000
Dy -3.882 0.000 9.531
Dy -1.941 1.121 3.177
Dy 1.941 1.121 3.177
Dy 0.000 0.000 9.531
Tm -1.941 -1.121 6.354
Tm -1.941 1.121 12.708
Tm 0.000 2.241 6.354
S 0.000 -2.215 7.918
S -1.918 1.107 7.918
S 0.000 0.000 4.808
S -1.918 -1.107 11.143
S 1.918 1.107 7.918
S 0.000 0.000 14.254
S 1.918 -1.107 11.143
S 0.000 2.215 11.143
CELL_PARAMETERS angstrom
3.882 2.241 6.354
-3.882 2.241 6.354
0.000 -4.483 6.354
! energy relative to the elements, uncorrected = -1.967 eV per atom

=====

Entry 6:
! BiTe3F, optimized geometry, DFT PBE; values from VASP
&SYSTEM
  ibrav = 0, nat = 5, ntyp = 3
/
ATOMIC_SPECIES
Bi 208.98 Bi.upf
Te 127.60 Te.upf
F 19.00 F.upf
ATOMIC_POSITIONS angstrom
Bi 0.000 0.000 0.000
Te 0.000 2.529 2.529
Te 2.529 0.000 2.529
Te 2.529 2.529 0.000
F 2.529 2.529 2.529
CELL_PARAMETERS angstrom
5.058 0.000 0.000
0.000 5.058 0.000
0.000 0.000 5.058
! energy relative to the elements, uncorrected = 0.061 eV per atom
! energy above the lowest structure with this stoichiometry = 0.00 eV/f.u.